[1]
This record from the Alexandria database describes a geometry-optimized LuFe2Si2 structure. The functional is PBEsol.

```
LuFe2Si2
1.0
-2.174 -1.667 -2.733
3.201 -1.175 -1.830
-0.564 -2.548 4.741
Fe Si Lu
2 2 1
direct
0.250 0.750 0.500 Fe
0.750 0.250 0.500 Fe
0.369 0.369 0.738 Si
0.631 0.631 0.262 Si
0.000 0.000 0.000 Lu
```

Results
Raw formation energy   -3.72 eV per formula unit
Space group   I4/mmm, No. 139
DFT total energy   -38.01 eV/cell

***

[2]
This record from the Alexandria database describes a geometry-optimized AlHgP2Os structure. The functional is PBEsol.

```
AlHgP2Os
1.0
-1.182 -2.487 -3.593
0.705 -3.782 2.385
-4.702 0.069 1.499
Hg Os Al P
1 1 1 2
direct
0.500 0.500 0.500 Hg
0.000 0.000 0.000 Os
0.000 0.000 0.500 Al
0.000 0.500 0.000 P
0.500 0.000 0.000 P
```

Results
Space group   P4/mmm, No. 123
Formation energy from the elements   0.40 eV per atom
DFT total energy   -26.44 eV/cell

***

[3]
This record from the Alexandria database describes a geometry-optimized LiSn4Au3 structure. The functional is PBEsol.

```
LiSn4Au3
1.0
-4.430 0.721 0.245
2.339 -0.908 3.730
3.425 20.120 2.750
Sn Au Li
8 6 2
direct
0.333 0.667 0.874 Sn
0.667 0.333 0.092 Sn
0.667 0.333 0.374 Sn
0.000 0.000 0.705 Sn
0.000 0.000 0.971 Sn
0.333 0.667 0.592 Sn
0.000 0.000 0.205 Sn
0.000 0.000 0.471 Sn
0.000 0.000 0.336 Au
0.667 0.333 0.655 Au
0.000 0.000 0.836 Au
0.333 0.667 0.155 Au
0.333 0.667 0.016 Au
0.667 0.333 0.516 Au
0.667 0.333 0.787 Li
0.333 0.667 0.287 Li
```

Results
Space group   P6_3mc, No. 186
Formation energy from the elements   -0.30 eV per atom
DFT total energy   -66.30 eV/cell

***

[4]
This record from the Alexandria database describes a geometry-optimized UI4 structure. The functional is PBEsol.

```
UI4
1.0
8.130 -0.086 -0.060
3.821 7.176 -0.060
0.166 0.099 7.323
I U
8 2
direct
0.241 0.499 0.399 I
0.999 0.755 0.918 I
0.499 0.241 0.899 I
0.001 0.245 0.082 I
0.245 0.001 0.582 I
0.755 0.999 0.418 I
0.759 0.501 0.601 I
0.501 0.759 0.101 I
0.859 0.141 0.750 U
0.141 0.859 0.250 U
```

Results
Raw formation energy   -3.35 eV per formula unit
Space group   C2/c, No. 15
DFT total energy   -45.16 eV/cell

***

[5]
This record from the Alexandria database describes a geometry-optimized SrSc2Ni structure. The functional is PBEsol.

```
SrSc2Ni
1.0
-1.940 3.712 -0.293
-3.521 -1.936 -1.218
1.238 -1.279 5.690
Sc Ni Sr
2 1 1
direct
0.750 0.250 0.500 Sc
0.250 0.750 0.500 Sc
0.000 0.000 0.000 Ni
0.500 0.500 0.000 Sr
```

Results
Space group   I4/mmm, No. 139
Formation energy from the elements   0.41 eV per atom
DFT total energy   -19.58 eV/cell

***

[6]
This record from the Alexandria database describes a geometry-optimized AsPb2Au structure. The functional is PBEsol.

```
AsPb2Au
1.0
4.145 0.000 0.000
0.000 4.209 -0.014
0.000 -2.109 5.590
Au As Pb
1 1 2
direct
0.500 0.330 0.788 Au
0.000 0.173 0.469 As
0.500 0.599 0.321 Pb
0.000 0.899 0.922 Pb
```

Results
Space group   Pm, No. 6
Formation energy from the elements   -0.03 eV per atom
DFT total energy   -17.13 eV/cell

***

[7]
This record from the Alexandria database describes a geometry-optimized Li7Sn2 structure. The functional is PBEsol.

```
Li7Sn2
1.0
4.655 0.000 0.000
0.000 8.382 0.013
0.000 -2.769 7.912
Li Sn
14 4
direct
0.500 0.500 0.500 Li
0.000 0.655 0.655 Li
0.500 0.821 0.498 Li
0.000 0.027 0.342 Li
0.000 0.345 0.345 Li
0.500 0.498 0.821 Li
0.500 0.502 0.179 Li
0.000 0.658 0.973 Li
0.000 0.342 0.027 Li
0.000 0.973 0.658 Li
0.000 0.000 0.000 Li
0.500 0.827 0.173 Li
0.500 0.179 0.502 Li
0.500 0.173 0.827 Li
0.500 0.163 0.163 Sn
0.500 0.837 0.837 Sn
0.000 0.319 0.681 Sn
0.000 0.681 0.319 Sn
```

Results
Space group   Cmmm, No. 65
Formation energy from the elements   -0.40 eV per atom
DFT total energy   -51.69 eV/cell

***

[8]
This record from the Alexandria database describes a geometry-optimized Ga2Cu2Ag structure. The functional is PBEsol.

```
Ga2Cu2Ag
1.0
2.724 0.000 0.000
0.000 7.205 0.000
0.000 0.000 7.205
Ga Cu Ag
4 4 2
direct
0.000 0.373 0.873 Ga
0.000 0.127 0.373 Ga
0.000 0.627 0.127 Ga
0.000 0.873 0.627 Ga
0.500 0.326 0.174 Cu
0.500 0.674 0.826 Cu
0.500 0.174 0.674 Cu
0.500 0.826 0.326 Cu
0.000 0.500 0.500 Ag
0.000 0.000 0.000 Ag
```

Results
Space group   P4/mbm, No. 127
Formation energy from the elements   -0.02 eV per atom
DFT total energy   -37.52 eV/cell

***

[9]
This record from the Alexandria database describes a geometry-optimized K2CaTa structure. The functional is PBEsol.

```
K2CaTa
1.0
-2.935 3.691 -1.013
-1.505 -2.286 -3.972
-2.342 -3.426 5.788
K Ca Ta
2 1 1
direct
0.250 0.750 0.500 K
0.750 0.250 0.500 K
0.000 0.000 0.000 Ca
0.500 0.500 0.000 Ta
```

Results
Space group   I4/mmm, No. 139
Formation energy from the elements   1.33 eV per atom
DFT total energy   -11.63 eV/cell

***

[10]
This record from the Alexandria database describes a geometry-optimized Co2Pt structure. The functional is PBEsol.

```
Co2Pt
1.0
2.611 0.000 0.000
0.000 3.551 0.000
-1.306 -1.775 3.911
Co Pt
2 1
direct
0.674 0.674 0.348 Co
0.326 0.326 0.652 Co
0.000 0.000 0.000 Pt
```

Results
Space group   Immm, No. 71
Formation energy from the elements   -0.04 eV per atom
DFT total energy   -22.56 eV/cell

***

[11]
This record from the Alexandria database describes a geometry-optimized ZrGe2TePt structure. The functional is PBEsol.

```
ZrGe2TePt
1.0
-3.959 1.547 -2.433
-2.879 -3.514 2.450
-0.972 3.411 3.750
Zr Pt Te Ge
1 1 1 2
direct
0.000 0.000 0.000 Zr
0.500 0.000 0.000 Pt
0.500 0.500 0.500 Te
0.000 0.000 0.500 Ge
0.000 0.500 0.000 Ge
```

Results
Raw formation energy   3.34 eV per formula unit
Space group   P4/mmm, No. 123
DFT total energy   -26.12 eV/cell

***

[12]
This record from the Alexandria database describes a geometry-optimized Ba2TmRuO6 structure. The functional is PBEsol.

```
Ba2TmRuO6
1.0
5.840 0.000 0.000
2.920 5.058 0.000
2.920 1.686 4.769
Ba O Tm Ru
2 6 1 1
direct
0.750 0.750 0.750 Ba
0.250 0.250 0.250 Ba
0.236 0.764 0.236 O
0.764 0.236 0.764 O
0.236 0.764 0.764 O
0.764 0.236 0.236 O
0.236 0.236 0.764 O
0.764 0.764 0.236 O
0.500 0.500 0.500 Tm
0.000 0.000 0.000 Ru
```

Results
Raw formation energy   -25.26 eV per formula unit
Space group   Fm-3m, No. 225
DFT total energy   -76.13 eV/cell

***

[13]
This record from the Alexandria database describes a geometry-optimized La2TiZnO6 structure. The functional is PBEsol.

```
La2TiZnO6
1.0
-4.316 -0.514 3.370
-3.842 -3.753 -1.183
-0.367 -4.489 3.155
La O Zn Ti
2 6 1 1
direct
0.750 0.750 0.750 La
0.250 0.250 0.250 La
0.164 0.763 0.320 O
0.680 0.836 0.237 O
0.237 0.680 0.836 O
0.320 0.164 0.763 O
0.836 0.237 0.680 O
0.763 0.320 0.164 O
0.500 0.500 0.500 Zn
0.000 0.000 0.000 Ti
```

Results
Raw formation energy   -30.12 eV per formula unit
Space group   R-3, No. 148
DFT total energy   -82.22 eV/cell

***

[14]
This record from the Alexandria database describes a geometry-optimized ZrAgBi2Pb structure. The functional is PBEsol.

```
ZrAgBi2Pb
1.0
-3.571 2.428 -3.489
-4.130 -0.902 3.599
1.014 4.948 2.404
Zr Bi Ag Pb
1 2 1 1
direct
0.000 0.000 0.000 Zr
0.000 0.500 0.000 Bi
0.500 0.000 0.000 Bi
0.500 0.500 0.500 Ag
0.000 0.000 0.500 Pb
```

Results
Space group   P4/mmm, No. 123
Formation energy from the elements   0.54 eV per atom
DFT total energy   -22.26 eV/cell

***

[15]
This record from the Alexandria database describes a geometry-optimized BePt structure. The functional is PBEsol.

```
BePt
1.0
-0.170 1.736 2.165
2.741 -1.898 1.738
3.037 1.705 -2.930
Pt Be
2 2
direct
0.353 0.250 0.709 Pt
0.647 0.750 0.291 Pt
0.079 0.250 0.159 Be
0.921 0.750 0.841 Be
```

Results
Space group   P2_1/m, No. 11
Formation energy from the elements   -0.68 eV per atom
DFT total energy   -24.66 eV/cell

***

[16]
This record from the Alexandria database describes a geometry-optimized Ba2ScAs structure. The functional is PBEsol.

```
Ba2ScAs
1.0
4.003 0.000 0.000
0.000 5.698 0.000
-2.002 -2.849 5.957
Ba As Sc
2 1 1
direct
0.234 0.734 0.468 Ba
0.050 0.050 0.100 Ba
0.785 0.285 0.571 As
0.430 0.430 0.861 Sc
```

Results
Space group   Imm2, No. 44
Formation energy from the elements   -0.48 eV per atom
DFT total energy   -17.92 eV/cell

***

[17]
This record from the Alexandria database describes a geometry-optimized K2Li2Pd structure. The functional is PBEsol.

```
K2Li2Pd
1.0
-4.247 -2.899 -2.384
3.464 -6.007 1.133
-3.106 -0.608 6.273
Li K Pd
4 4 2
direct
0.000 0.165 0.335 Li
0.000 0.335 0.835 Li
0.000 0.665 0.165 Li
0.000 0.835 0.665 Li
0.500 0.307 0.193 K
0.500 0.693 0.807 K
0.500 0.193 0.693 K
0.500 0.807 0.307 K
0.000 0.500 0.500 Pd
0.000 0.000 0.000 Pd
```

Results
Space group   P4/mbm, No. 127
Formation energy from the elements   0.11 eV per atom
DFT total energy   -23.24 eV/cell

***

[18]
This record from the Alexandria database describes a geometry-optimized TaNb structure. The functional is PBEsol.

```
TaNb
1.0
-1.364 -1.518 1.975
2.776 0.049 0.598
-0.612 3.834 2.523
Ta Nb
1 1
direct
0.500 0.500 0.500 Ta
0.000 0.000 0.000 Nb
```

Results
Space group   Cmmm, No. 65
Formation energy from the elements   0.00 eV per atom
DFT total energy   -23.37 eV/cell

***

[19]
This record from the Alexandria database describes a geometry-optimized Si4OsRh structure. The functional is PBEsol.

```
Si4OsRh
1.0
-3.152 0.794 -3.505
-4.687 -0.080 0.937
-2.522 4.061 -0.073
Si Os Rh
4 1 1
direct
0.375 0.375 0.375 Si
0.375 0.375 0.875 Si
0.875 0.375 0.375 Si
0.375 0.875 0.375 Si
0.750 0.750 0.750 Os
0.000 0.000 0.000 Rh
```

Results
Raw formation energy   2.58 eV per formula unit
Space group   F-43m, No. 216
DFT total energy   -40.76 eV/cell

***

[20]
This record from the Alexandria database describes a geometry-optimized ScMnBiB2 structure. The functional is PBEsol.

```
ScMnBiB2
1.0
4.641 0.000 0.000
0.000 4.641 0.000
0.000 0.000 5.442
Mn Bi B Sc
1 1 2 1
direct
0.500 0.500 0.500 Mn
0.000 0.000 0.000 Bi
0.000 0.500 0.000 B
0.500 0.000 0.000 B
0.000 0.000 0.500 Sc
```

Results
Space group   P4/mmm, No. 123
Formation energy from the elements   2.14 eV per atom
DFT total energy   -23.99 eV/cell

***

[21]
This record from the Alexandria database describes a geometry-optimized BaSnIO2 structure. The functional is PBEsol.

```
BaSnIO2
1.0
4.647 0.000 0.000
0.000 4.647 0.000
0.000 0.000 6.567
I O Sn Ba
1 2 1 1
direct
0.000 0.000 0.500 I
0.500 0.000 0.000 O
0.000 0.500 0.000 O
0.500 0.500 0.500 Sn
0.000 0.000 0.000 Ba
```

Results
Raw formation energy   -1.95 eV per formula unit
Space group   P4/mmm, No. 123
DFT total energy   -20.62 eV/cell

***

[22]
This record from the Alexandria database describes a geometry-optimized Li4Nb2Cr3Cu3O16 structure. The functional is PBEsol.

```
Li4Nb2Cr3Cu3O16
1.0
-1.576 3.026 -4.630
0.464 -5.907 -0.446
-9.131 -0.574 2.732
O Cu Li Cr Nb
16 3 4 3 2
direct
0.166 0.840 0.596 O
0.524 0.048 0.837 O
0.313 0.626 0.119 O
0.349 0.209 0.091 O
0.448 0.464 0.356 O
0.860 0.209 0.091 O
0.007 0.013 0.290 O
0.164 0.328 0.604 O
0.674 0.840 0.596 O
0.847 0.694 0.083 O
0.463 0.927 0.344 O
0.967 0.479 0.832 O
0.640 0.280 0.605 O
0.018 0.037 0.805 O
0.017 0.464 0.356 O
0.513 0.479 0.832 O
0.170 0.826 0.208 Cu
0.834 0.669 0.715 Cu
0.656 0.826 0.208 Cu
0.010 0.019 0.996 Li
0.645 0.291 0.399 Li
0.999 0.998 0.485 Li
0.337 0.673 0.899 Li
0.346 0.184 0.718 Cr
0.171 0.343 0.231 Cr
0.838 0.184 0.718 Cr
0.332 0.665 0.498 Nb
0.674 0.347 0.996 Nb
```

Results
Raw formation energy   -50.36 eV per formula unit
Space group   Cm, No. 8
DFT total energy   -207.58 eV/cell

***

[23]
This record from the Alexandria database describes a geometry-optimized Sc3SiTc structure. The functional is PBEsol.

```
Sc3SiTc
1.0
4.850 0.000 0.000
0.000 4.850 0.000
0.000 0.000 4.850
Si Sc Tc
1 3 1
direct
0.500 0.500 0.500 Si
0.000 0.500 0.000 Sc
0.500 0.000 0.000 Sc
0.000 0.000 0.500 Sc
0.000 0.000 0.000 Tc
```

Results
Raw formation energy   1.37 eV per formula unit
Space group   Pm-3m, No. 221
DFT total energy   -35.46 eV/cell

***

[24]
This record from the Alexandria database describes a geometry-optimized LiPbW2 structure. The functional is PBEsol.

```
LiPbW2
1.0
-0.935 2.337 -1.416
-3.044 -2.794 -2.604
-3.387 0.383 3.548
W Li Pb
2 1 1
direct
0.781 0.000 0.771 W
0.219 0.000 0.229 W
0.500 0.500 0.000 Li
0.000 0.500 0.500 Pb
```

Results
Space group   P2/m, No. 10
Formation energy from the elements   0.70 eV per atom
DFT total energy   -30.79 eV/cell

***

[25]
This record from the Alexandria database describes a geometry-optimized Ag5Pb structure. The functional is PBEsol.

```
Ag5Pb
1.0
-2.655 0.391 -1.323
-0.667 -4.680 -0.044
-2.101 0.227 7.668
Ag Pb
5 1
direct
0.563 0.500 0.126 Ag
0.322 0.000 0.645 Ag
0.216 0.500 0.432 Ag
0.666 0.000 0.331 Ag
0.008 0.000 0.017 Ag
0.891 0.500 0.783 Pb
```

Results
Space group   Amm2, No. 38
Formation energy from the elements   0.09 eV per atom
DFT total energy   -20.03 eV/cell